Entry 1:
An optimized crystal structure of TiSnCl3, computed with PBE.

POSCAR file:
```
TiSnCl3
1.0
4.894 0.000 0.000
0.000 4.894 0.000
0.000 0.000 4.894
Sn Cl Ti
1 3 1
direct
0.500 0.500 0.500
0.000 0.500 0.000
0.000 0.000 0.500
0.500 0.000 0.000
0.000 0.000 0.000
```

Results
Relative energy among the computed polymorphs ... 0.0 kJ/mol of formula units


Entry 2:
An optimized crystal structure of YTiSn2Cl, computed with PBE.

POSCAR file:
```
YTiSn2Cl
1.0
5.369 0.000 0.000
0.000 4.937 0.000
0.000 0.000 5.369
Sn Y Ti Cl
2 1 1 1
direct
0.000 0.000 0.500
0.500 0.000 0.000
0.000 0.500 0.000
0.500 0.500 0.500
0.000 0.000 0.000
```


Entry 3:
An optimized crystal structure of Tl3Sn2Cl7, computed with PBE.

POSCAR file:
```
Tl3Sn2Cl7
1.0
-5.177 -1.902 -0.836
1.028 -0.394 -5.469
6.415 -11.421 4.874
Cl Sn Tl
7 2 3
direct
0.000 0.000 0.000
0.208 0.208 0.416
0.792 0.792 0.584
0.599 0.099 0.198
0.401 0.901 0.802
0.099 0.599 0.198
0.901 0.401 0.802
0.104 0.104 0.209
0.896 0.896 0.791
0.500 0.500 0.000
0.682 0.682 0.364
0.318 0.318 0.636
```


Entry 4:
An optimized crystal structure of TlSnCl5, computed with PBE.

POSCAR file:
```
TlSnCl5
1.0
7.879 0.400 1.595
3.783 6.922 1.595
1.297 0.815 9.794
Cl Tl Sn
10 2 2
direct
0.086 0.655 0.021
0.655 0.082 0.118
0.918 0.345 0.382
0.345 0.918 0.882
0.655 0.086 0.521
0.115 0.885 0.250
0.885 0.115 0.750
0.914 0.345 0.979
0.345 0.914 0.479
0.082 0.655 0.618
0.446 0.554 0.750
0.554 0.446 0.250
0.000 0.000 0.500
0.000 0.000 0.000
```


Entry 5:
An optimized crystal structure of Tl4Sn2Cl9, computed with PBE.

POSCAR file:
```
Tl4Sn2Cl9
1.0
-5.817 -4.737 1.468
-0.757 -6.475 -4.002
11.712 -10.038 14.011
Sn Tl Cl
4 8 18
direct
0.000 0.000 0.153
0.000 0.000 0.351
0.000 0.000 0.847
0.000 0.000 0.649
0.667 0.667 0.018
0.333 0.334 0.683
0.333 0.333 0.475
0.333 0.333 0.982
0.667 0.666 0.317
0.667 0.667 0.525
0.667 0.667 0.813
0.333 0.333 0.187
0.706 0.247 0.271
0.294 0.753 0.729
0.734 0.949 0.418
0.682 0.031 0.088
0.030 0.287 0.088
0.316 0.735 0.418
0.247 0.047 0.271
0.048 0.706 0.271
0.051 0.684 0.582
0.318 0.969 0.912
0.714 0.317 0.912
0.753 0.953 0.729
0.970 0.713 0.912
0.952 0.294 0.729
0.266 0.051 0.582
0.684 0.265 0.582
0.286 0.683 0.088
0.949 0.316 0.418
```


Entry 6:
An optimized crystal structure of Tl3Sn5Cl12, computed with PBE.

POSCAR file:
```
Tl3Sn5Cl12
1.0
-12.835 -7.482 4.468
8.004 -8.901 -9.869
8.758 3.117 12.421
Cl Sn Tl
48 20 12
direct
0.881 0.293 0.468
0.207 0.532 0.619
0.381 0.413 0.088
0.325 0.793 0.412
0.293 0.412 0.825
0.619 0.587 0.912
0.119 0.707 0.532
0.675 0.468 0.587
0.468 0.793 0.881
0.881 0.588 0.913
0.413 0.381 0.588
0.293 0.881 0.968
0.412 0.119 0.587
0.913 0.088 0.881
0.588 0.707 0.675
0.381 0.968 0.793
0.032 0.619 0.707
0.825 0.912 0.293
0.088 0.913 0.381
0.968 0.587 0.175
0.413 0.032 0.325
0.412 0.293 0.325
0.175 0.088 0.707
0.207 0.675 0.088
0.588 0.881 0.413
0.913 0.825 0.532
0.707 0.119 0.032
0.087 0.912 0.119
0.587 0.968 0.675
0.825 0.913 0.032
0.119 0.412 0.087
0.707 0.588 0.175
0.619 0.032 0.207
0.088 0.175 0.207
0.587 0.619 0.412
0.175 0.087 0.968
0.912 0.825 0.793
0.793 0.325 0.912
0.532 0.207 0.119
0.087 0.175 0.468
0.032 0.413 0.825
0.793 0.468 0.381
0.912 0.087 0.619
0.675 0.207 0.588
0.325 0.532 0.413
0.968 0.381 0.293
0.532 0.325 0.913
0.468 0.675 0.087
0.250 0.875 0.125
0.500 0.500 0.000
0.750 0.125 0.875
0.500 0.000 0.000
0.250 0.375 0.625
0.500 0.500 0.500
0.625 0.750 0.875
0.000 0.000 0.500
0.750 0.625 0.375
0.875 0.625 0.750
0.000 0.000 0.000
0.500 0.000 0.500
0.125 0.375 0.250
0.125 0.750 0.375
0.375 0.250 0.125
0.875 0.250 0.625
0.000 0.500 0.000
0.625 0.875 0.250
0.000 0.500 0.500
0.375 0.125 0.750
0.625 0.375 0.750
0.875 0.125 0.250
0.750 0.875 0.625
0.875 0.750 0.125
0.250 0.625 0.875
0.750 0.375 0.125
0.375 0.625 0.250
0.625 0.250 0.375
0.125 0.250 0.875
0.250 0.125 0.375
0.375 0.750 0.625
0.125 0.875 0.750
```


Let's list density in order: 3.87; 4.78; 4.37; 3.32; 4.32; 3.77 g/cm³.
Let's list calculated volume in order: 117.2; 142.3; 417.3; 500.5; 1055.7; 2874.6 Å³ per cell.
Let's list formation energy from raw total energies in order: -15.90; 6.74; -22.53; -21.73; -22.62; -19.91 kcal/mol of atoms.